Density functional theory data (PBE) for a relaxed LiHoPuMn crystal.

Structure (POSCAR):
```
LiHoPuMn
1.0
-0.674 4.880 0.330
-2.001 2.476 -3.773
-4.564 1.841 0.398
Ho Pu Mn Li
1 1 1 1
Direct
0.250 0.250 0.250 Ho
0.750 0.750 0.750 Pu
0.500 0.500 0.500 Mn
0.000 0.000 0.000 Li
```

Output
DFT formation energy ... 8.1 kcal/mol of atoms
Calculated volume ... 21.274 Å³/atom
Space-group type ... F-43m
Total moment ... 7.79 μB per formula unit
N(E_F) ... 8.618 states/eV/f.u.